1.
{"formula": "ZnMoS2Cl", "functional": "GGA-PBE", "state": "relaxed", "final_energy_ev_per_atom": -3.585, "sg": "No. 123", "lattice_angstrom": [[4.407, 0.000, 0.000], [0.000, 6.191, 0.000], [0.000, 0.000, 4.407]], "species": ["S", "S", "Mo", "Zn", "Cl"], "frac_coords": [[0.000, 0.000, 0.500], [0.500, 0.000, 0.000], [0.000, 0.500, 0.000], [0.000, 0.000, 0.000], [0.500, 0.500, 0.500]]}

=====

2.
{"formula": "Sm2DyAg3Te6", "functional": "GGA-PBE", "state": "relaxed", "final_energy_ev_per_atom": -4.309, "sg": "No. 12", "lattice_angstrom": [[-3.174, -1.886, -2.474], [-4.623, -1.418, 7.013], [-1.477, 9.951, -1.702]], "species": ["Sm", "Sm", "Dy", "Ag", "Ag", "Ag", "Te", "Te", "Te", "Te", "Te", "Te"], "frac_coords": [[0.828, 0.692, 0.656], [0.172, 0.308, 0.344], [0.500, 0.000, 0.000], [0.500, 0.500, 0.000], [0.793, 0.230, 0.586], [0.207, 0.770, 0.414], [0.341, 0.960, 0.682], [0.662, 0.571, 0.323], [0.659, 0.040, 0.318], [0.011, 0.258, 0.021], [0.989, 0.742, 0.979], [0.338, 0.429, 0.677]]}

=====

3.
{"formula": "Na2BeSbO6", "functional": "GGA-PBE", "state": "relaxed", "final_energy_ev_per_atom": -5.112, "sg": "No. 164", "lattice_angstrom": [[-0.731, 2.373, 4.608], [4.350, -2.339, 1.895], [0.352, 4.715, -2.373]], "species": ["Na", "Na", "Be", "Sb", "O", "O", "O", "O", "O", "O"], "frac_coords": [[0.114, 0.333, 0.667], [0.886, 0.667, 0.333], [0.000, 0.000, 0.000], [0.500, 0.000, 0.000], [0.770, 0.155, 0.309], [0.770, 0.155, 0.845], [0.770, 0.691, 0.845], [0.230, 0.845, 0.155], [0.230, 0.309, 0.155], [0.230, 0.845, 0.691]]}

=====

4.
{"formula": "CrHg2Cl", "functional": "GGA-PBE", "state": "relaxed", "final_energy_ev_per_atom": -3.091, "sg": "No. 71", "lattice_angstrom": [[11.947, 0.000, 0.000], [0.000, 3.635, 0.000], [0.000, 0.000, 4.742]], "species": ["Cr", "Cr", "Hg", "Hg", "Hg", "Hg", "Cl", "Cl"], "frac_coords": [[0.500, 0.000, 0.500], [0.000, 0.500, 0.000], [0.194, 0.000, 0.000], [0.806, 0.000, 0.000], [0.694, 0.500, 0.500], [0.306, 0.500, 0.500], [0.000, 0.500, 0.500], [0.500, 0.000, 0.000]]}

=====

5.
{"formula": "MgV3Ag", "functional": "GGA-PBE", "state": "relaxed", "sg": "No. 221", "formation_energy_ev_per_atom": 1.54, "lattice_angstrom": [[-4.200, -1.600, 2.094], [0.704, -4.478, -2.009], [2.540, -1.405, 4.020]], "species": ["Mg", "Ag", "V", "V", "V"], "frac_coords": [[0.500, 0.500, 0.500], [0.000, 0.000, 0.000], [0.000, 0.500, 0.000], [0.000, 0.000, 0.500], [0.500, 0.000, 0.000]]}